No. 1
A geometry-optimized PuPPb2 structure, computed with PBE-GGA.

a = 3.7328 Å, b = 3.7328 Å, c = 30.2824 Å
α = 90.00°, β = 90.00°, γ = 120.00°
Positions (direct):
1 Pu 0.0000 0.0000 0.0000
2 Pu 0.3333 0.6667 0.6667
3 Pu 0.6667 0.3333 0.3333
4 P 0.0000 0.0000 0.5000
5 P 0.3333 0.6667 0.1667
6 P 0.6667 0.3333 0.8333
7 Pb 0.0000 0.0000 0.1075
8 Pb 0.0000 0.0000 0.8925
9 Pb 0.3333 0.6667 0.5591
10 Pb 0.3333 0.6667 0.7742
11 Pb 0.6667 0.3333 0.2258
12 Pb 0.6667 0.3333 0.4409

Formation energy   326 meV per atom
Crystal system   trigonal

***

No. 2
A geometry-optimized RbPPb structure, computed with PBE-GGA.

a = 5.1448 Å, b = 5.3382 Å, c = 11.8421 Å
α = 79.69°, β = 89.87°, γ = 61.75°
Positions (direct):
1 Rb 0.0000 0.0000 0.0000
2 Rb 0.4186 0.1811 0.3547
3 P 0.4347 0.1494 0.6440
4 P 0.6326 0.7539 0.7783
5 Pb 0.2663 0.4816 0.8108
6 Pb 0.7962 0.4310 0.6014

Formation energy   -1 meV per atom
Crystal system   triclinic

***

No. 3
A geometry-optimized RbPPb structure, computed with PBE-GGA.

a = 4.2417 Å, b = 4.2417 Å, c = 6.6499 Å
α = 90.00°, β = 90.00°, γ = 120.00°
Positions (direct):
1 Rb 0.0000 0.0000 0.0000
2 P 0.3333 0.6667 0.6679
3 Pb 0.6667 0.3333 0.4708

Formation energy   -244 meV per atom
Crystal system   trigonal

***

No. 4
A geometry-optimized Rb2PPb2 structure, computed with PBE-GGA.

a = 7.7108 Å, b = 7.7108 Å, c = 6.1761 Å
α = 90.00°, β = 90.00°, γ = 90.00°
Positions (direct):
1 Rb 0.1803 0.3197 0.0000
2 Rb 0.3197 0.8197 0.0000
3 Rb 0.6803 0.1803 0.0000
4 Rb 0.8197 0.6803 0.0000
5 P 0.0000 0.0000 0.5000
6 P 0.5000 0.5000 0.5000
7 Pb 0.1462 0.6462 0.5000
8 Pb 0.3538 0.1462 0.5000
9 Pb 0.6462 0.8538 0.5000
10 Pb 0.8538 0.3538 0.5000

Formation energy   24 meV per atom
Crystal system   tetragonal

***

No. 5
A geometry-optimized RbPPb3 structure, computed with PBE-GGA.

a = 5.6770 Å, b = 5.6770 Å, c = 5.6770 Å
α = 90.00°, β = 90.00°, γ = 90.00°
Positions (direct):
1 Rb 0.0000 0.0000 0.0000
2 P 0.5000 0.5000 0.5000
3 Pb 0.0000 0.5000 0.5000
4 Pb 0.5000 0.0000 0.5000
5 Pb 0.5000 0.5000 0.0000

Formation energy   208 meV per atom
Crystal system   cubic

***

No. 6
A geometry-optimized RbP2Pb2 structure, computed with PBE-GGA.

a = 8.8251 Å, b = 8.8251 Å, c = 3.8195 Å
α = 90.00°, β = 90.00°, γ = 90.00°
Positions (direct):
1 Rb 0.0000 0.0000 0.0000
2 Rb 0.5000 0.5000 0.0000
3 P 0.0891 0.4109 0.0000
4 P 0.4109 0.9109 0.0000
5 P 0.5891 0.0891 0.0000
6 P 0.9109 0.5891 0.0000
7 Pb 0.1616 0.6616 0.5000
8 Pb 0.3384 0.1616 0.5000
9 Pb 0.6616 0.8384 0.5000
10 Pb 0.8384 0.3384 0.5000

Formation energy   60 meV per atom
Crystal system   tetragonal

***

No. 7
A geometry-optimized RbPPb3 structure, computed with PBE-GGA.

a = 6.0825 Å, b = 6.0825 Å, c = 6.0825 Å
α = 90.00°, β = 90.00°, γ = 90.00°
Positions (direct):
1 Rb 0.0000 0.0000 0.0000
2 P 0.5000 0.5000 0.5000
3 Pb 0.0000 0.0000 0.5000
4 Pb 0.0000 0.5000 0.0000
5 Pb 0.5000 0.0000 0.0000

Formation energy   1588 meV per atom
Crystal system   cubic

***

No. 8
A geometry-optimized RbP2Pb2 structure, computed with PBE-GGA.

a = 5.2373 Å, b = 5.2373 Å, c = 11.3434 Å
α = 90.00°, β = 90.00°, γ = 90.00°
Positions (direct):
1 Rb 0.0000 0.0000 0.0000
2 Rb 0.5000 0.5000 0.5000
3 P 0.0000 0.5000 0.2500
4 P 0.0000 0.5000 0.7500
5 P 0.5000 0.0000 0.2500
6 P 0.5000 0.0000 0.7500
7 Pb 0.0000 0.0000 0.3460
8 Pb 0.0000 0.0000 0.6540
9 Pb 0.5000 0.5000 0.1540
10 Pb 0.5000 0.5000 0.8460

Formation energy   20 meV per atom
Crystal system   tetragonal

***

No. 9
A geometry-optimized RbP2Pb2 structure, computed with PBE-GGA.

a = 4.7675 Å, b = 4.7675 Å, c = 12.7984 Å
α = 90.00°, β = 90.00°, γ = 90.00°
Positions (direct):
1 Rb 0.0000 0.0000 0.0000
2 Rb 0.5000 0.5000 0.5000
3 P 0.0000 0.0000 0.4177
4 P 0.0000 0.0000 0.5823
5 P 0.5000 0.5000 0.0823
6 P 0.5000 0.5000 0.9177
7 Pb 0.0000 0.5000 0.2500
8 Pb 0.0000 0.5000 0.7500
9 Pb 0.5000 0.0000 0.2500
10 Pb 0.5000 0.0000 0.7500

Formation energy   -52 meV per atom
Crystal system   tetragonal

***

No. 10
A geometry-optimized RbPRhPb structure, computed with PBE-GGA.

a = 4.2173 Å, b = 4.2173 Å, c = 13.1651 Å
α = 90.00°, β = 90.00°, γ = 90.00°
Positions (direct):
1 Rb 0.2500 0.2500 0.2349
2 Rb 0.7500 0.7500 0.7651
3 P 0.2500 0.2500 0.9155
4 P 0.7500 0.7500 0.0845
5 Rh 0.2500 0.7500 0.0000
6 Rh 0.7500 0.2500 0.0000
7 Pb 0.2500 0.7500 0.5000
8 Pb 0.7500 0.2500 0.5000

Formation energy   -372 meV per atom
Crystal system   tetragonal

***

No. 11
A geometry-optimized RbPRuPb structure, computed with PBE-GGA.

a = 4.2104 Å, b = 4.2104 Å, c = 13.2105 Å
α = 90.00°, β = 90.00°, γ = 90.00°
Positions (direct):
1 Rb 0.2500 0.2500 0.2308
2 Rb 0.7500 0.7500 0.7692
3 P 0.2500 0.2500 0.9203
4 P 0.7500 0.7500 0.0797
5 Ru 0.2500 0.7500 0.0000
6 Ru 0.7500 0.2500 0.0000
7 Pb 0.2500 0.7500 0.5000
8 Pb 0.7500 0.2500 0.5000

Formation energy   -331 meV per atom
Crystal system   tetragonal

***

No. 12
A geometry-optimized RbP2PbS structure, computed with PBE-GGA.

a = 5.3858 Å, b = 5.3858 Å, c = 5.5583 Å
α = 90.00°, β = 90.00°, γ = 90.00°
Positions (direct):
1 Rb 0.0000 0.0000 0.0000
2 P 0.0000 0.5000 0.0000
3 P 0.5000 0.0000 0.0000
4 Pb 0.5000 0.5000 0.5000
5 S 0.0000 0.0000 0.5000

Crystal system   tetragonal
Uncorrected formation energy   33.86 kcal/mol of atoms

***

| no. | total magnetic moment (μB per formula unit) |
| --- | --- |
| 1 | 6.73 |
| 2 | 0.00 |
| 3 | 0.00 |
| 4 | 0.00 |
| 5 | 0.00 |
| 6 | 0.00 |
| 7 | 0.00 |
| 8 | 0.00 |
| 9 | 0.00 |
| 10 | 0.00 |
| 11 | 0.00 |
| 12 | 1.33 |